DFT (GGA-PBEsol) results for crystalline LiMoRh2 at its relaxed geometry.

Total DFT energy (no corrections) ... -7.60 eV per atom

```
data_LiMoRh2
_chemical_formula_sum 'Li4 Mo4 Rh8'
_symmetry_space_group_name_H-M 'F m -3 m'
_symmetry_Int_Tables_number 225
_symmetry_space_group_name_Hall '-F 4 2 3'
_cell_length_a 5.985
_cell_length_b 5.985
_cell_length_c 5.985
_cell_angle_alpha 90.00
_cell_angle_beta 90.00
_cell_angle_gamma 90.00
loop_
_atom_site_label
_atom_site_fract_x
_atom_site_fract_y
_atom_site_fract_z
Li1 0.000 0.000 0.000
Mo1 0.000 0.000 0.500
Rh1 0.250 0.250 0.250
```

DFT (GGA-PBEsol) results for crystalline Li3MoRh at its relaxed geometry.

Total DFT energy (no corrections) ... -3.36 eV per atom

```
data_Li3MoRh
_chemical_formula_sum 'Li3 Mo1 Rh1'
_symmetry_space_group_name_H-M 'P m -3 m'
_symmetry_Int_Tables_number 221
_symmetry_space_group_name_Hall '-P 4 2 3'
_cell_length_a 4.507
_cell_length_b 4.507
_cell_length_c 4.507
_cell_angle_alpha 90.00
_cell_angle_beta 90.00
_cell_angle_gamma 90.00
loop_
_atom_site_label
_atom_site_fract_x
_atom_site_fract_y
_atom_site_fract_z
Li1 0.000 0.000 0.500
Mo1 0.000 0.000 0.000
Rh1 0.500 0.500 0.500
```

DFT (GGA-PBEsol) results for crystalline LiMo2Rh at its relaxed geometry.

Total DFT energy (no corrections) ... -8.18 eV per atom

```
data_LiMo2Rh
_chemical_formula_sum 'Li2 Mo4 Rh2'
_symmetry_space_group_name_H-M 'I m m 2'
_symmetry_Int_Tables_number 44
_symmetry_space_group_name_Hall 'I 2 -2'
_cell_length_a 3.041
_cell_length_b 4.491
_cell_length_c 8.374
_cell_angle_alpha 90.00
_cell_angle_beta 90.00
_cell_angle_gamma 90.00
loop_
_atom_site_label
_atom_site_fract_x
_atom_site_fract_y
_atom_site_fract_z
Li1 0.000 0.000 0.000
Mo1 0.000 0.000 0.498
Mo2 0.000 0.500 0.772
Rh1 0.000 0.500 0.251
```

DFT (GGA-PBEsol) results for crystalline LiMoRh2 at its relaxed geometry.

Total DFT energy (no corrections) ... -7.59 eV per atom

```
data_LiMoRh2
_chemical_formula_sum 'Li3 Mo3 Rh6'
_symmetry_space_group_name_H-M 'R -3 m'
_symmetry_Int_Tables_number 166
_symmetry_space_group_name_Hall '-R 3 2"'
_cell_length_a 2.7286
_cell_length_b 2.7286
_cell_length_c 25.9640
_cell_angle_alpha 90.00
_cell_angle_beta 90.00
_cell_angle_gamma 120.00
loop_
_atom_site_label
_atom_site_fract_x
_atom_site_fract_y
_atom_site_fract_z
Li1 0.0000 0.0000 0.0000
Mo1 0.0000 0.0000 0.5000
Rh1 0.0000 0.0000 0.2488
```

Result set for formation energy from the elements: -0.1007; 1.7981; 0.2304; -0.0902 eV/atom, one per record in the order listed.